No. 1
A relaxed structure of Ba2LiCa2, computed with PBE.

Unit cell a=8.5476 b=8.5476 c=6.6071 alpha=90.00 beta=90.00 gamma=90.00
With the nearest neighbours (Å) after each atom.
Fractional coordinates of all 10 atoms:
Ba 0.1737 0.3263 0.0000  6 Ca 3.93-4.32, 1 Ba 4.20
Ba 0.3263 0.8263 0.0000  6 Ca 3.93-4.32, 1 Ba 4.20
Ba 0.6737 0.1737 0.0000  6 Ca 3.93-4.32, 1 Ba 4.20
Ba 0.8263 0.6737 0.0000  6 Ca 3.93-4.32, 1 Ba 4.20
Li 0.0000 0.0000 0.5000  4 Ca 3.25
Li 0.5000 0.5000 0.5000  4 Ca 3.25
Ca 0.1506 0.6506 0.5000  2 Li 3.25, 1 Ca 3.64
Ca 0.3494 0.1506 0.5000  2 Li 3.25, 1 Ca 3.64
Ca 0.6506 0.8494 0.5000  2 Li 3.25, 1 Ca 3.64
Ca 0.8494 0.3494 0.5000  2 Li 3.25, 1 Ca 3.64

Density of states at the Fermi level   1.73 states/eV per atom
Total energy   -1.8229 eV per atom
Polymorph energy (0 for the lowest one)   93 meV/atom


No. 2
A relaxed structure of BaLiCa2, computed with PBE.

Unit cell a=4.4150 b=6.0935 c=6.3749 alpha=90.00 beta=90.00 gamma=90.00
With the nearest neighbours (Å) after each atom.
Fractional coordinates of all 4 atoms:
Ba 0.0000 0.0000 0.0000  4 Li 3.76, 4 Ca 3.88
Li 0.5000 0.5000 0.0000  4 Ba 3.76, 4 Ca 3.88
Ca 0.0000 0.5000 0.5000  4 Ca 3.76, 4 Li 3.88
Ca 0.5000 0.0000 0.5000  4 Ca 3.76, 4 Ba 3.88

Density of states at the Fermi level   1.08 states/eV per atom
Total energy   -1.8789 eV per atom
Polymorph energy (0 for the lowest one)   53 meV/atom


No. 3
A relaxed structure of Ba3LiCa12, computed with PBE.

Unit cell a=5.7796 b=5.7796 c=21.4195 alpha=90.00 beta=90.00 gamma=90.00
With the nearest neighbours (Å) after each atom.
Fractional coordinates of all 16 atoms:
Ba 0.0000 0.0000 0.0000  12 Ca 4.05-4.09
Ba 0.0000 0.0000 0.2633  12 Ca 4.03-4.09
Ba 0.0000 0.0000 0.7367  12 Ca 4.03-4.09
Li 0.0000 0.0000 0.5000  12 Ca 3.65-4.09
Ca 0.0000 0.5000 0.1324  4 Ba 4.03-4.05, 8 Ca 4.05-4.09
Ca 0.0000 0.5000 0.3955  8 Ca 3.65-4.09, 2 Li 3.65, 2 Ba 4.05
Ca 0.0000 0.5000 0.6045  8 Ca 3.65-4.09, 2 Li 3.65, 2 Ba 4.05
Ca 0.0000 0.5000 0.8676  4 Ba 4.03-4.05, 8 Ca 4.05-4.09
Ca 0.5000 0.0000 0.1324  4 Ba 4.03-4.05, 8 Ca 4.05-4.09
Ca 0.5000 0.0000 0.3955  8 Ca 3.65-4.09, 2 Li 3.65, 2 Ba 4.05
Ca 0.5000 0.0000 0.6045  8 Ca 3.65-4.09, 2 Li 3.65, 2 Ba 4.05
Ca 0.5000 0.0000 0.8676  4 Ba 4.03-4.05, 8 Ca 4.05-4.09
Ca 0.5000 0.5000 0.0000  8 Ca 4.05, 4 Ba 4.09
Ca 0.5000 0.5000 0.2670  8 Ca 3.99-4.08, 4 Ba 4.09
Ca 0.5000 0.5000 0.5000  8 Ca 3.65, 4 Li 4.09
Ca 0.5000 0.5000 0.7330  8 Ca 3.99-4.08, 4 Ba 4.09

Density of states at the Fermi level   1.11 states/eV per atom
Total energy   -1.9401 eV per atom


Please write out number 3 again, unchanged.
A relaxed structure of Ba3LiCa12, computed with PBE.

Unit cell a=5.7796 b=5.7796 c=21.4195 alpha=90.00 beta=90.00 gamma=90.00
With the nearest neighbours (Å) after each atom.
Fractional coordinates of all 16 atoms:
Ba 0.0000 0.0000 0.0000  12 Ca 4.05-4.09
Ba 0.0000 0.0000 0.2633  12 Ca 4.03-4.09
Ba 0.0000 0.0000 0.7367  12 Ca 4.03-4.09
Li 0.0000 0.0000 0.5000  12 Ca 3.65-4.09
Ca 0.0000 0.5000 0.1324  4 Ba 4.03-4.05, 8 Ca 4.05-4.09
Ca 0.0000 0.5000 0.3955  8 Ca 3.65-4.09, 2 Li 3.65, 2 Ba 4.05
Ca 0.0000 0.5000 0.6045  8 Ca 3.65-4.09, 2 Li 3.65, 2 Ba 4.05
Ca 0.0000 0.5000 0.8676  4 Ba 4.03-4.05, 8 Ca 4.05-4.09
Ca 0.5000 0.0000 0.1324  4 Ba 4.03-4.05, 8 Ca 4.05-4.09
Ca 0.5000 0.0000 0.3955  8 Ca 3.65-4.09, 2 Li 3.65, 2 Ba 4.05
Ca 0.5000 0.0000 0.6045  8 Ca 3.65-4.09, 2 Li 3.65, 2 Ba 4.05
Ca 0.5000 0.0000 0.8676  4 Ba 4.03-4.05, 8 Ca 4.05-4.09
Ca 0.5000 0.5000 0.0000  8 Ca 4.05, 4 Ba 4.09
Ca 0.5000 0.5000 0.2670  8 Ca 3.99-4.08, 4 Ba 4.09
Ca 0.5000 0.5000 0.5000  8 Ca 3.65, 4 Li 4.09
Ca 0.5000 0.5000 0.7330  8 Ca 3.99-4.08, 4 Ba 4.09

Density of states at the Fermi level   1.11 states/eV per atom
Total energy   -1.9401 eV per atom


- density of states at the Fermi level of number 1 (Ba2LiCa2)?
  1.73 states/eV per atom


Repeat the second record exactly.
A relaxed structure of BaLiCa2, computed with PBE.

Unit cell a=4.4150 b=6.0935 c=6.3749 alpha=90.00 beta=90.00 gamma=90.00
With the nearest neighbours (Å) after each atom.
Fractional coordinates of all 4 atoms:
Ba 0.0000 0.0000 0.0000  4 Li 3.76, 4 Ca 3.88
Li 0.5000 0.5000 0.0000  4 Ba 3.76, 4 Ca 3.88
Ca 0.0000 0.5000 0.5000  4 Ca 3.76, 4 Li 3.88
Ca 0.5000 0.0000 0.5000  4 Ca 3.76, 4 Ba 3.88

Density of states at the Fermi level   1.08 states/eV per atom
Total energy   -1.8789 eV per atom
Polymorph energy (0 for the lowest one)   53 meV/atom


- Among the records above, which one has the highest density of states at the Fermi level?
  Ba2LiCa2